Run A
The following is a GGA-PBE calculation of a relaxed structure of KVPb2, from Alexandria.

a b c (Å): 6.305 6.305 9.792
angles (deg): 71.22 71.22 90.00
Sites, in units of the cell vectors:
Pb 0.866 0.125 0.250
Pb 0.884 0.625 0.250
Pb 0.375 0.134 0.750
Pb 0.875 0.116 0.750
K 0.500 0.500 0.000
K 0.250 0.750 0.500
V 0.000 0.000 0.000
V 0.750 0.250 0.500

Properties
total magnetization: 3.40 μB per cell

***

Run B
The following is a GGA-PBE calculation of a relaxed structure of KVPb2, from Alexandria.

a b c (Å): 5.339 5.339 5.339
angles (deg): 60.00 60.00 60.00
Sites, in units of the cell vectors:
Pb 0.250 0.250 0.250
Pb 0.750 0.750 0.750
K 0.000 0.000 0.000
V 0.500 0.500 0.500

Properties
total magnetization: 3.29 μB per cell

***

run B has the most favorable energy; the next structure is 0.067 eV/atom above.